a | # LiTaSbTe2, relaxed, DFT PBE
data_LiTaSbTe2
_cell_length_a 5.019
_cell_length_b 5.019
_cell_length_c 4.709
_cell_angle_alpha 90.00
_cell_angle_beta 90.00
_cell_angle_gamma 90.00
_symmetry_space_group_name_H-M 'P 1'
_symmetry_Int_Tables_number 1
_symmetry_space_group_name_Hall 'P 1'
loop_
_atom_site_label
_atom_site_type_symbol
_atom_site_fract_x
_atom_site_fract_y
_atom_site_fract_z
Te1 Te 0.500 0.000 0.000
Te2 Te 0.000 0.500 0.000
Li1 Li 0.000 0.000 0.000
Ta1 Ta 0.500 0.500 0.500
Sb1 Sb 0.000 0.000 0.500
# SG	No. 123

***

b | # LiTaSbTe2, relaxed, DFT PBE
data_LiTaSbTe2
_cell_length_a 5.462
_cell_length_b 5.462
_cell_length_c 5.449
_cell_angle_alpha 90.00
_cell_angle_beta 90.00
_cell_angle_gamma 90.00
_symmetry_space_group_name_H-M 'P 1'
_symmetry_Int_Tables_number 1
_symmetry_space_group_name_Hall 'P 1'
loop_
_atom_site_label
_atom_site_type_symbol
_atom_site_fract_x
_atom_site_fract_y
_atom_site_fract_z
Ta1 Ta 0.000 0.000 0.000
Te1 Te 0.000 0.500 0.000
Te2 Te 0.500 0.000 0.000
Li1 Li 0.500 0.500 0.500
Sb1 Sb 0.000 0.000 0.500
# SG	No. 123

***

Energy relative to the most stable one, in eV/atom: a 0.771; b 0.000

***

a | # LiTb2Sb, relaxed, DFT PBE
data_LiTb2Sb
_cell_length_a 5.217
_cell_length_b 5.217
_cell_length_c 5.217
_cell_angle_alpha 60.00
_cell_angle_beta 60.00
_cell_angle_gamma 60.00
_symmetry_space_group_name_H-M 'P 1'
_symmetry_Int_Tables_number 1
_symmetry_space_group_name_Hall 'P 1'
loop_
_atom_site_label
_atom_site_type_symbol
_atom_site_fract_x
_atom_site_fract_y
_atom_site_fract_z
Li1 Li 0.500 0.500 0.500
Sb1 Sb 0.000 0.000 0.000
Tb1 Tb 0.250 0.250 0.250
Tb2 Tb 0.750 0.750 0.750
# SG	No. 225

***

b | # LiTb2Sb, relaxed, DFT PBE
data_LiTb2Sb
_cell_length_a 6.826
_cell_length_b 6.465
_cell_length_c 6.465
_cell_angle_alpha 66.55
_cell_angle_beta 58.14
_cell_angle_gamma 58.14
_symmetry_space_group_name_H-M 'P 1'
_symmetry_Int_Tables_number 1
_symmetry_space_group_name_Hall 'P 1'
loop_
_atom_site_label
_atom_site_type_symbol
_atom_site_fract_x
_atom_site_fract_y
_atom_site_fract_z
Tb1 Tb 0.273 0.727 0.227
Tb2 Tb 0.727 0.273 0.773
Tb3 Tb 0.773 0.727 0.227
Tb4 Tb 0.227 0.273 0.773
Li1 Li 0.250 0.793 0.707
Li2 Li 0.750 0.207 0.293
Sb1 Sb 0.750 0.788 0.712
Sb2 Sb 0.250 0.212 0.288
# SG	No. 74

***

Energy relative to the most stable one, in eV/atom: a 0.079; b 0.000

***

a | # LiTcSb4, relaxed, DFT PBE
data_LiTcSb4
_cell_length_a 6.550
_cell_length_b 6.549
_cell_length_c 7.787
_cell_angle_alpha 114.87
_cell_angle_beta 114.87
_cell_angle_gamma 90.00
_symmetry_space_group_name_H-M 'P 1'
_symmetry_Int_Tables_number 1
_symmetry_space_group_name_Hall 'P 1'
loop_
_atom_site_label
_atom_site_type_symbol
_atom_site_fract_x
_atom_site_fract_y
_atom_site_fract_z
Sb1 Sb 0.978 0.799 0.278
Sb2 Sb 0.299 0.478 0.278
Sb3 Sb 0.022 0.201 0.722
Sb4 Sb 0.522 0.022 0.722
Sb5 Sb 0.201 0.701 0.722
Sb6 Sb 0.799 0.299 0.278
Sb7 Sb 0.701 0.522 0.722
Sb8 Sb 0.478 0.978 0.278
Li1 Li 0.500 0.500 0.000
Li2 Li 0.000 0.000 0.000
Tc1 Tc 0.250 0.250 0.500
Tc2 Tc 0.750 0.750 0.500
# SG	No. 140

***

b | # LiTcSb4, relaxed, DFT PBE
data_LiTcSb4
_cell_length_a 6.178
_cell_length_b 6.178
_cell_length_c 6.178
_cell_angle_alpha 60.00
_cell_angle_beta 60.00
_cell_angle_gamma 60.00
_symmetry_space_group_name_H-M 'P 1'
_symmetry_Int_Tables_number 1
_symmetry_space_group_name_Hall 'P 1'
loop_
_atom_site_label
_atom_site_type_symbol
_atom_site_fract_x
_atom_site_fract_y
_atom_site_fract_z
Sb1 Sb 0.375 0.375 0.375
Sb2 Sb 0.375 0.875 0.375
Sb3 Sb 0.875 0.375 0.375
Sb4 Sb 0.375 0.375 0.875
Tc1 Tc 0.750 0.750 0.750
Li1 Li 0.000 0.000 0.000
# SG	No. 216

***

Energy relative to the most stable one, in eV/atom: a 0.000; b 0.869

***

a | # LiTc3Sb, relaxed, DFT PBE
data_LiTc3Sb
_cell_length_a 4.938
_cell_length_b 4.938
_cell_length_c 4.938
_cell_angle_alpha 90.00
_cell_angle_beta 90.00
_cell_angle_gamma 90.00
_symmetry_space_group_name_H-M 'P 1'
_symmetry_Int_Tables_number 1
_symmetry_space_group_name_Hall 'P 1'
loop_
_atom_site_label
_atom_site_type_symbol
_atom_site_fract_x
_atom_site_fract_y
_atom_site_fract_z
Tc1 Tc 0.000 0.000 0.500
Tc2 Tc 0.500 0.000 0.000
Tc3 Tc 0.000 0.500 0.000
Sb1 Sb 0.000 0.000 0.000
Li1 Li 0.500 0.500 0.500
# SG	No. 221

***

b | # LiTc3Sb, relaxed, DFT PBE
data_LiTc3Sb
_cell_length_a 4.252
_cell_length_b 4.252
_cell_length_c 4.252
_cell_angle_alpha 90.00
_cell_angle_beta 90.00
_cell_angle_gamma 90.00
_symmetry_space_group_name_H-M 'P 1'
_symmetry_Int_Tables_number 1
_symmetry_space_group_name_Hall 'P 1'
loop_
_atom_site_label
_atom_site_type_symbol
_atom_site_fract_x
_atom_site_fract_y
_atom_site_fract_z
Li1 Li 0.000 0.000 0.000
Sb1 Sb 0.500 0.500 0.500
Tc1 Tc 0.500 0.000 0.000
Tc2 Tc 0.000 0.000 0.500
Tc3 Tc 0.000 0.500 0.000
# SG	No. 221

***

Energy relative to the most stable one, in eV/atom: a 0.720; b 0.000

***

a | # LiSbTe3, relaxed, DFT PBE
data_LiSbTe3
_cell_length_a 4.291
_cell_length_b 8.739
_cell_length_c 8.258
_cell_angle_alpha 86.67
_cell_angle_beta 90.00
_cell_angle_gamma 90.00
_symmetry_space_group_name_H-M 'P 1'
_symmetry_Int_Tables_number 1
_symmetry_space_group_name_Hall 'P 1'
loop_
_atom_site_label
_atom_site_type_symbol
_atom_site_fract_x
_atom_site_fract_y
_atom_site_fract_z
Te1 Te 0.750 0.263 0.030
Te2 Te 0.750 0.097 0.340
Te3 Te 0.250 0.903 0.660
Te4 Te 0.250 0.737 0.970
Te5 Te 0.750 0.621 0.326
Te6 Te 0.250 0.379 0.674
Sb1 Sb 0.250 0.381 0.296
Sb2 Sb 0.750 0.619 0.704
Li1 Li 0.750 0.104 0.743
Li2 Li 0.250 0.896 0.257
# SG	No. 11

***

b | # LiSbTe3, relaxed, DFT PBE
data_LiSbTe3
_cell_length_a 5.792
_cell_length_b 5.792
_cell_length_c 5.792
_cell_angle_alpha 90.00
_cell_angle_beta 90.00
_cell_angle_gamma 90.00
_symmetry_space_group_name_H-M 'P 1'
_symmetry_Int_Tables_number 1
_symmetry_space_group_name_Hall 'P 1'
loop_
_atom_site_label
_atom_site_type_symbol
_atom_site_fract_x
_atom_site_fract_y
_atom_site_fract_z
Te1 Te 0.000 0.500 0.000
Te2 Te 0.000 0.000 0.500
Te3 Te 0.500 0.000 0.000
Li1 Li 0.500 0.500 0.500
Sb1 Sb 0.000 0.000 0.000
# SG	No. 221

***

Energy relative to the most stable one, in eV/atom: a 0.000; b 0.399

***

a | # LiSb2Te2, relaxed, DFT PBE
data_LiSb2Te2
_cell_length_a 4.428
_cell_length_b 4.428
_cell_length_c 8.657
_cell_angle_alpha 75.18
_cell_angle_beta 75.18
_cell_angle_gamma 90.00
_symmetry_space_group_name_H-M 'P 1'
_symmetry_Int_Tables_number 1
_symmetry_space_group_name_Hall 'P 1'
loop_
_atom_site_label
_atom_site_type_symbol
_atom_site_fract_x
_atom_site_fract_y
_atom_site_fract_z
Sb1 Sb 0.584 0.584 0.833
Sb2 Sb 0.416 0.416 0.167
Te1 Te 0.250 0.750 0.500
Te2 Te 0.750 0.250 0.500
Li1 Li 0.000 0.000 0.000
# SG	No. 139

***

b | # LiSb2Te2, relaxed, DFT PBE
data_LiSb2Te2
_cell_length_a 8.373
_cell_length_b 8.373
_cell_length_c 4.266
_cell_angle_alpha 90.00
_cell_angle_beta 90.00
_cell_angle_gamma 90.00
_symmetry_space_group_name_H-M 'P 1'
_symmetry_Int_Tables_number 1
_symmetry_space_group_name_Hall 'P 1'
loop_
_atom_site_label
_atom_site_type_symbol
_atom_site_fract_x
_atom_site_fract_y
_atom_site_fract_z
Li1 Li 0.000 0.000 0.000
Li2 Li 0.500 0.500 0.000
Te1 Te 0.177 0.677 0.500
Te2 Te 0.323 0.177 0.500
Te3 Te 0.677 0.823 0.500
Te4 Te 0.823 0.323 0.500
Sb1 Sb 0.847 0.653 0.000
Sb2 Sb 0.653 0.153 0.000
Sb3 Sb 0.347 0.847 0.000
Sb4 Sb 0.153 0.347 0.000
# SG	No. 127

***

Energy relative to the most stable one, in eV/atom: a 0.214; b 0.000

***

a | # LiSb2Te2, relaxed, DFT PBE
data_LiSb2Te2
_cell_length_a 8.113
_cell_length_b 8.113
_cell_length_c 4.460
_cell_angle_alpha 90.00
_cell_angle_beta 90.00
_cell_angle_gamma 90.00
_symmetry_space_group_name_H-M 'P 1'
_symmetry_Int_Tables_number 1
_symmetry_space_group_name_Hall 'P 1'
loop_
_atom_site_label
_atom_site_type_symbol
_atom_site_fract_x
_atom_site_fract_y
_atom_site_fract_z
Te1 Te 0.818 0.682 0.000
Te2 Te 0.318 0.818 0.000
Te3 Te 0.182 0.318 0.000
Te4 Te 0.682 0.182 0.000
Sb1 Sb 0.361 0.139 0.500
Sb2 Sb 0.139 0.639 0.500
Sb3 Sb 0.639 0.861 0.500
Sb4 Sb 0.861 0.361 0.500
Li1 Li 0.500 0.500 0.000
Li2 Li 0.000 0.000 0.000
# SG	No. 127

***

b | # LiSb2Te2, relaxed, DFT PBE
data_LiSb2Te2
_cell_length_a 4.246
_cell_length_b 4.246
_cell_length_c 9.029
_cell_angle_alpha 76.40
_cell_angle_beta 76.40
_cell_angle_gamma 90.00
_symmetry_space_group_name_H-M 'P 1'
_symmetry_Int_Tables_number 1
_symmetry_space_group_name_Hall 'P 1'
loop_
_atom_site_label
_atom_site_type_symbol
_atom_site_fract_x
_atom_site_fract_y
_atom_site_fract_z
Te1 Te 0.585 0.585 0.829
Te2 Te 0.415 0.415 0.171
Sb1 Sb 0.250 0.750 0.500
Sb2 Sb 0.750 0.250 0.500
Li1 Li 0.000 0.000 0.000
# SG	No. 139

***

Energy relative to the most stable one, in eV/atom: a 0.000; b 0.059

***

a | # LiSb2Te4, relaxed, DFT PBE
data_LiSb2Te4
_cell_length_a 4.198
_cell_length_b 8.258
_cell_length_c 7.312
_cell_angle_alpha 64.77
_cell_angle_beta 90.01
_cell_angle_gamma 75.28
_symmetry_space_group_name_H-M 'P 1'
_symmetry_Int_Tables_number 1
_symmetry_space_group_name_Hall 'P 1'
loop_
_atom_site_label
_atom_site_type_symbol
_atom_site_fract_x
_atom_site_fract_y
_atom_site_fract_z
Te1 Te 0.622 0.756 0.959
Te2 Te 0.378 0.244 0.041
Te3 Te 0.881 0.237 0.543
Te4 Te 0.119 0.763 0.457
Sb1 Sb 0.252 0.495 0.262
Sb2 Sb 0.748 0.505 0.738
Li1 Li 0.000 0.000 0.000
# SG	No. 12

***

b | # LiSb2Te4, relaxed, DFT PBE
data_LiSb2Te4
_cell_length_a 4.230
_cell_length_b 4.230
_cell_length_c 14.171
_cell_angle_alpha 81.42
_cell_angle_beta 81.42
_cell_angle_gamma 60.00
_symmetry_space_group_name_H-M 'P 1'
_symmetry_Int_Tables_number 1
_symmetry_space_group_name_Hall 'P 1'
loop_
_atom_site_label
_atom_site_type_symbol
_atom_site_fract_x
_atom_site_fract_y
_atom_site_fract_z
Sb1 Sb 0.420 0.420 0.740
Sb2 Sb 0.580 0.580 0.260
Te1 Te 0.871 0.871 0.387
Te2 Te 0.129 0.129 0.613
Te3 Te 0.293 0.293 0.121
Te4 Te 0.707 0.707 0.879
Li1 Li 0.000 0.000 0.000
# SG	No. 166

***

Energy relative to the most stable one, in eV/atom: a 0.009; b 0.000